{"formula": "KCo2PBr", "functional": "PBE-GGA", "state": "relaxed", "dft_energy_ev_per_atom": -3.4714, "magnetic_moment_mub_per_atom": 0.999, "lattice": [[-2.3599, -1.5836, 3.5404], [2.3484, -5.3652, -0.8344], [3.4343, 1.0725, 2.7689]], "species": ["P", "Br", "Co", "Co", "K"], "fractional_positions": [[0.5000, 0.5000, 0.5000], [0.0000, 0.0000, 0.0000], [0.0000, 0.0000, 0.5000], [0.5000, 0.0000, 0.0000], [0.0000, 0.5000, 0.0000]]}